# 1
## TbPm6Pr12 (PBE)

Data for TbPm6Pr12 after structural relaxation.

DFT total energy   -4.6395 eV per atom
Formation energy   123 meV/atom
Total moment   0.0 μB/cell
Offset from the most stable computed form   5 meV/atom

```
TbPm6Pr12
1.0
8.742 0.694 0.831
-0.639 8.747 0.831
-0.639 -0.745 8.754
Pm Pr Tb
6 12 1
Direct
0.903 0.299 0.739
0.701 0.261 0.097
0.299 0.739 0.903
0.097 0.701 0.261
0.261 0.097 0.701
0.739 0.903 0.299
0.566 0.219 0.465
0.219 0.465 0.566
0.434 0.781 0.535
0.639 0.982 0.808
0.982 0.808 0.639
0.808 0.639 0.982
0.361 0.018 0.192
0.781 0.535 0.434
0.535 0.434 0.781
0.465 0.566 0.219
0.018 0.192 0.361
0.192 0.361 0.018
0.000 0.000 0.000
```

***

# 2
## SbIrIO2 (PBE)

Data for SbIrIO2 after structural relaxation.

DFT total energy   -4.6352 eV per atom
Total moment   0.0 μB/cell
Offset from the most stable computed form   67 meV/atom
ΔE_f (raw)   0.25 eV per atom

```
SbIrIO2
1.0
3.945 0.000 0.000
0.000 3.945 0.000
0.000 0.000 7.656
I O Ir Sb
1 2 1 1
Direct
0.000 0.000 0.500
0.000 0.500 0.000
0.500 0.000 0.000
0.000 0.000 0.000
0.500 0.500 0.500
```

***

# 3
## MgPbCl (PBE)

Data for MgPbCl after structural relaxation.

DFT total energy   -3.0641 eV per atom
Total moment   0.0 μB/cell
Offset from the most stable computed form   113 meV/atom
ΔE_f (raw)   -0.68 eV per atom

```
MgPbCl
1.0
8.609 0.035 -0.023
7.559 3.349 -0.055
1.050 -1.375 3.016
Cl Mg Pb
1 1 1
Direct
0.954 0.954 0.046
0.354 0.354 0.646
0.692 0.692 0.308
```

***

# 4
## Tl2IrSe (PBE)

Data for Tl2IrSe after structural relaxation.

DFT total energy   -3.8788 eV per atom
Total moment   0.0 μB/cell
Offset from the most stable computed form   330 meV/atom
ΔE_f (raw)   0.39 eV per atom

```
Tl2IrSe
1.0
-0.734 5.634 -4.659
-3.514 6.169 -1.893
0.225 7.250 -1.176
Tl Se Ir
2 1 1
Direct
0.992 0.992 0.992
0.508 0.508 0.508
0.750 0.750 0.750
0.250 0.250 0.250
```

***

# 5
## SmUTeSe2 (PBE)

Data for SmUTeSe2 after structural relaxation.

DFT total energy   -6.2100 eV per atom
Total moment   3.0 μB/cell
ΔE_f (raw)   -0.99 eV per atom

```
SmUTeSe2
1.0
4.603 0.000 0.000
0.000 4.603 0.000
-2.302 -2.302 6.947
Te U Sm Se
1 1 1 2
Direct
0.503 0.503 0.006
0.130 0.130 0.260
0.871 0.871 0.743
0.748 0.248 0.496
0.248 0.748 0.496
```

***

# 6
## BaHfS2 (PBE)

Data for BaHfS2 after structural relaxation.

DFT total energy   -6.2643 eV per atom
Total moment   0.0 μB/cell
Offset from the most stable computed form   0 meV/atom
ΔE_f (raw)   -1.23 eV per atom

```
BaHfS2
1.0
-0.066 -9.339 0.398
2.838 -8.514 2.617
-0.648 -8.431 3.986
Hf Ba S
1 1 2
Direct
0.500 0.500 0.500
0.000 0.000 0.000
0.114 0.114 0.114
0.886 0.886 0.886
```

***

# 7
## La3Ho8Tm4 (PBE)

Data for La3Ho8Tm4 after structural relaxation.

DFT total energy   -4.2186 eV per atom
Formation energy   401 meV/atom
Total moment   0.0 μB/cell

```
La3Ho8Tm4
1.0
6.737 -0.081 -0.117
-3.253 8.608 1.139
-3.253 -1.920 8.468
La Tm Ho
3 4 8
Direct
0.500 0.500 0.500
0.500 0.000 0.500
0.500 0.500 0.000
0.000 0.000 0.000
0.000 0.000 0.500
0.500 0.000 0.000
0.000 0.500 0.000
0.461 0.733 0.733
0.000 0.640 0.360
0.500 0.748 0.252
0.000 0.360 0.640
0.005 0.258 0.258
0.500 0.252 0.748
0.995 0.742 0.742
0.539 0.267 0.267
```

***

# 8
## Mg4Ag5Sn (PBE)

Data for Mg4Ag5Sn after structural relaxation.

DFT total energy   -2.4769 eV per atom
Formation energy   -13 meV/atom
Total moment   0.0 μB/cell
Offset from the most stable computed form   173 meV/atom

```
Mg4Ag5Sn
1.0
5.394 0.000 0.000
2.697 6.243 0.000
2.697 0.000 6.243
Mg Sn Ag
4 1 5
Direct
0.393 0.396 0.728
0.789 0.728 0.604
0.121 0.272 0.396
0.517 0.604 0.272
0.201 0.000 0.000
0.088 0.610 0.115
0.813 0.390 0.885
0.689 0.000 0.000
0.698 0.115 0.390
0.203 0.885 0.610
```

***

# 9
## Sm4Mg5Tl2 (PBE)

Data for Sm4Mg5Tl2 after structural relaxation.

DFT total energy   -2.9839 eV per atom
Formation energy   -113 meV/atom
Total moment   0.0 μB/cell

```
Sm4Mg5Tl2
1.0
3.599 0.000 0.000
0.000 8.152 0.002
0.000 -0.786 10.620
Tl Mg Sm
2 5 4
Direct
0.000 0.938 0.359
0.000 0.062 0.641
0.000 0.500 0.000
0.000 0.199 0.164
0.000 0.563 0.292
0.000 0.437 0.708
0.000 0.801 0.836
0.500 0.276 0.445
0.500 0.724 0.555
0.500 0.840 0.113
0.500 0.160 0.887
```

***

# 10
## Li6PPd12 (PBE)

Data for Li6PPd12 after structural relaxation.

DFT total energy   -4.4760 eV per atom
Formation energy   -307 meV/atom
Total moment   0.0 μB/cell

```
Li6PPd12
1.0
-2.641 -2.835 -5.202
-5.271 -1.366 3.525
-2.532 5.717 -1.725
Pd Li P
12 6 1
Direct
0.652 0.995 0.860
0.348 0.005 0.140
0.005 0.140 0.348
0.456 0.552 0.201
0.552 0.201 0.456
0.799 0.544 0.448
0.201 0.456 0.552
0.140 0.348 0.005
0.544 0.448 0.799
0.448 0.799 0.544
0.995 0.860 0.652
0.860 0.652 0.995
0.713 0.882 0.274
0.726 0.287 0.118
0.274 0.713 0.882
0.287 0.118 0.726
0.118 0.726 0.287
0.882 0.274 0.713
0.000 0.000 0.000
```

***

# 11
## AlMoAs3 (PBE)

Data for AlMoAs3 after structural relaxation.

DFT total energy   -4.5298 eV per atom
Formation energy   1175 meV/atom
Total moment   0.0 μB/cell
Offset from the most stable computed form   682 meV/atom

```
AlMoAs3
1.0
-2.092 -0.995 -4.107
-0.597 -4.467 1.386
-4.183 1.135 1.856
As Al Mo
3 1 1
Direct
0.000 0.500 0.000
0.500 0.000 0.000
0.000 0.000 0.500
0.000 0.000 0.000
0.500 0.500 0.500
```

***

# 12
## Sm2Zn2Cu (PBE)

Data for Sm2Zn2Cu after structural relaxation.

DFT total energy   -3.4994 eV per atom
Formation energy   -283 meV/atom
Total moment   0.0 μB/cell

```
Sm2Zn2Cu
1.0
4.518 0.000 0.000
2.259 5.018 -0.282
2.259 0.321 9.639
Sm Cu Zn
4 2 4
Direct
0.319 0.697 0.665
0.681 0.303 0.335
0.911 0.289 0.889
0.089 0.711 0.111
0.623 0.104 0.650
0.377 0.896 0.350
0.380 0.123 0.118
0.083 0.271 0.563
0.917 0.729 0.437
0.620 0.877 0.882
```